Entry 1:
Here is a relaxed NiHF2 crystal from the Alexandria database. Energies are from PBE with a Hubbard U.

Output
Calculated volume ... 8.3 Å³ per atom
Raw total energy ... -11.800 eV/cell
Space-group type ... R-3m (166)
Crystal system ... trigonal

Cell and atoms, written as extended XYZ:
```
4
Lattice="1.302 0.752 5.641 -1.302 0.752 5.641 0.000 -1.503 5.641" Properties=species:S:1:pos:R:3 pbc="T T T"
Ni 0.000 0.000 0.000
H 0.000 0.000 8.461
F 0.000 0.000 1.873
F 0.000 0.000 15.049
```

Entry 2:
Here is a relaxed TaCrN2F crystal from the Alexandria database. Energies are from PBE with a Hubbard U.

Output
Calculated volume ... 11.0 Å³ per atom
Raw total energy ... -37.380 eV/cell
Space-group type ... P4/mmm (123)
Crystal system ... tetragonal

Cell and atoms, written as extended XYZ:
```
5
Lattice="3.941 0.000 0.000 0.000 3.941 0.000 0.000 0.000 3.553" Properties=species:S:1:pos:R:3 pbc="T T T"
Ta 0.000 0.000 0.000
Cr 1.971 1.971 1.777
N 0.000 1.971 1.777
N 1.971 0.000 1.777
F 1.971 1.971 0.000
```

Q: What is the formula in the first record?
A: NiHF2

Q: Which of these has the lowest raw total energy?
A: TaCrN2F